Entry 1:
7
Lattice="4.205 0.000 0.000 2.102 5.435 -0.581 2.102 1.458 5.283" Properties=species:S:1:pos:R:3 comment="Pr2Si2HIr2 (PBE, relaxed)" final_energy_ev_per_atom=-6.728 dos_ef_per_ev_cell=4.32 crystal_system=monoclinic magnetic_moment_mub_per_cell=0.0 pbc="T T T"
H 0.000 0.000 0.000
Pr 4.205 1.918 3.630
Si 6.307 4.255 3.411
Pr 4.205 4.974 1.072
Ir 4.205 1.890 0.418
Ir 4.205 5.003 4.284
Si 2.102 2.637 1.291

=====

Entry 2:
3
Lattice="-0.766 -5.043 1.456 2.202 -3.932 -2.797 4.004 -2.802 2.062" Properties=species:S:1:pos:R:3 comment="LaZrCl (PBE, relaxed)" final_energy_ev_per_atom=-4.530 dos_ef_per_ev_cell=4.31 crystal_system=cubic polymorph_energy_ev_per_fu=4.46 magnetic_moment_mub_per_cell=5.3 pbc="T T T"
Zr 0.000 0.000 0.000
La 4.080 -8.833 0.541
Cl 2.720 -5.889 0.360

=====

Entry 3:
8
Lattice="6.853 0.000 0.000 0.000 6.853 0.000 3.427 3.427 2.352" Properties=species:S:1:pos:R:3 comment="Li2FeMo (PBE, relaxed)" final_energy_ev_per_atom=-4.922 dos_ef_per_ev_cell=5.80 crystal_system=tetragonal polymorph_energy_ev_per_fu=2.51 e_form_mev_per_atom=858 magnetic_moment_mub_per_cell=4.9 pbc="T T T"
Fe 3.427 3.427 0.000
Li 1.851 5.140 0.588
Li 5.003 1.713 0.588
Mo 6.853 3.427 1.176
Li 8.567 8.429 1.764
Fe 3.427 6.853 1.176
Mo 0.000 0.000 0.000
Li 5.140 5.277 1.764

=====

Entry 4:
5
Lattice="3.310 0.000 0.000 0.000 3.310 0.000 1.655 1.655 5.230" Properties=species:S:1:pos:R:3 comment="CdFe2N2 (PBE, relaxed)" final_energy_ev_per_atom=-6.470 dos_ef_per_ev_cell=3.88 crystal_system=tetragonal polymorph_energy_ev_per_fu=1.55 magnetic_moment_mub_per_cell=0.0 pbc="T T T"
Fe 1.655 1.655 1.715
N 3.310 1.655 2.615
Fe 3.310 3.310 3.515
N 1.655 3.310 2.615
Cd 0.000 0.000 0.000

=====

Entry 5:
5
Lattice="-2.873 -1.060 -3.930 0.187 -5.590 -1.787 -5.170 -2.468 1.287" Properties=species:S:1:pos:R:3 comment="Nd2SmAl2 (PBE, relaxed)" final_energy_ev_per_atom=-4.651 dos_ef_per_ev_cell=4.67 crystal_system=orthorhombic polymorph_energy_ev_per_fu=0.00 e_form_mev_per_atom=-303 magnetic_moment_mub_per_cell=0.0 pbc="T T T"
Nd -2.074 -2.643 -0.929
Sm 0.000 0.000 0.000
Al -4.969 -3.952 -1.617
Nd -5.783 -6.475 -3.501
Al -2.887 -5.166 -2.812

=====

Entry 6:
4
Lattice="-4.583 -0.078 -0.265 -0.195 -2.202 4.024 -0.122 2.515 1.370" Properties=species:S:1:pos:R:3 comment="AsPtRh2 (PBE, relaxed)" final_energy_ev_per_atom=-6.399 dos_ef_per_ev_cell=4.98 crystal_system=tetragonal e_form_mev_per_atom=-51 magnetic_moment_mub_per_cell=0.0 pbc="T T T"
Rh -2.389 -1.140 1.880
Pt -0.159 0.156 2.697
Rh 0.000 0.000 0.000
As -2.353 1.218 0.553